# AlPtO2

A relaxed AlPtO2 crystal (PBE, the Alexandria database).

For the total energy, the calculation gives -25.7 eV per formula unit. The value obtained for the total magnetization is 0.00 Bohr magnetons per cell. Its formation energy without anion corrections is -1.50 eV/atom. The density of states at the Fermi level comes out at 0.093 states/eV per atom.

abc: 9.2797 8.4854 10.9814
angles: 90.00 90.01 90.00
Closest atoms and distances in Å follow each position.
Space group C2/c (No. 15)
Asymmetric unit:
Al1 0.0439 0.1943 0.1123 [8 per cell]  4 O 1.80-1.91
Al2 0.2145 0.1107 0.5551 [8 per cell]  3 O 1.76-1.88
Pt1 0.1356 0.4353 0.7701 [8 per cell]  2 O 1.98-2.02
Pt2 0.1400 0.1195 0.7714 [8 per cell]  2 O 1.93-2.04
O1 0.0000 0.0644 0.2500 [4 per cell]  2 Al 1.91, 2 Pt 2.04
O2 0.0000 0.3798 0.2500 [4 per cell]  2 Pt 2.02, 2 Al 2.22
O3 0.1208 0.2627 0.4640 [8 per cell]  3 Al 1.84-1.88
O4 0.1360 0.0674 0.0059 [8 per cell]  2 Al 1.76-1.80
O5 0.2131 0.2241 0.1966 [8 per cell]  1 Al 1.84, 2 Pt 1.93-1.98

***

# Sm2UTe4

A relaxed Sm2UTe4 crystal (PBE, the Alexandria database).

For the total energy, the calculation gives -40.8 eV per formula unit. The value obtained for the total magnetization is 13.13 Bohr magnetons per cell. Its formation energy without anion corrections is -1.08 eV/atom. The density of states at the Fermi level comes out at 1.096 states/eV per atom.

abc: 4.3186 14.5803 15.0623
angles: 90.00 90.00 90.00
Closest atoms and distances in Å follow each position.
Space group Cmcm (No. 63)
Asymmetric unit:
Sm1 0.0000 0.1344 0.0670 [8 per cell]  6 Te 3.09-3.18
U1 0.0000 0.3786 0.2500 [4 per cell]  6 Te 3.15-3.21
Te1 0.0000 0.0359 0.2500 [4 per cell]  2 Sm 3.11, 2 U 3.15
Te2 0.0000 0.2223 0.6265 [8 per cell]  3 Sm 3.14-3.18, 2 U 3.21
Te3 0.0000 0.5000 0.0000 [4 per cell]  4 Sm 3.09

***

# KLa3Ti

A relaxed KLa3Ti crystal (PBE, the Alexandria database).

For the total energy, the calculation gives -17.0 eV per formula unit. The value obtained for the total magnetization is 2.32 Bohr magnetons per cell. The formation energy is 1359 meV per atom. The density of states at the Fermi level comes out at 1.495 states/eV per atom. As for the relative energy among the computed polymorphs: 0.8984 eV per atom.

abc: 5.6238 5.6238 5.6238
angles: 90.00 90.00 90.00
Closest atoms and distances in Å follow each position.
Space group Pm-3m (No. 221)
Asymmetric unit:
K1 0.0000 0.0000 0.0000 [1 per cell]  6 La 2.81
La1 0.0000 0.0000 0.5000 [3 per cell]  2 K 2.81
Ti1 0.5000 0.5000 0.5000 [1 per cell]  12 La 3.98

***

# Ho4HgGeC

A relaxed Ho4HgGeC crystal (PBE, the Alexandria database).

For the total energy, the calculation gives -36.0 eV per formula unit. The value obtained for the total magnetization is 0.00 Bohr magnetons per cell. The formation energy is -504 meV per atom. The density of states at the Fermi level comes out at 0.224 states/eV per atom.

abc: 6.8363 14.5691 6.8191
angles: 90.00 90.00 90.00
Closest atoms and distances in Å follow each position.
Space group Cmcm (No. 63)
Asymmetric unit:
Ho1 0.0000 0.0797 0.2500 [4 per cell]  1 C 2.46
Ho2 0.0000 0.4173 0.2500 [4 per cell]  1 C 2.46
Ho3 0.2500 0.2500 0.0000 [8 per cell]  2 C 2.41
Hg1 0.0000 0.3840 0.7500 [4 per cell]  5 Ho 2.89-3.10
Ge1 0.0000 0.1241 0.7500 [4 per cell]  5 Ho 2.97-3.03
C1 0.0000 0.2482 0.2500 [4 per cell]  6 Ho 2.41-2.46

***

# In2OsSCl

A relaxed In2OsSCl crystal (PBE, the Alexandria database).

For the total energy, the calculation gives -15.9 eV per formula unit. The value obtained for the total magnetization is 3.02 Bohr magnetons per cell. Its formation energy without anion corrections is 1.35 eV/atom. The density of states at the Fermi level comes out at 0.680 states/eV per atom.

abc: 5.4229 5.4229 4.4665
angles: 90.00 90.00 90.00
Closest atoms and distances in Å follow each position.
Space group P4/mmm (No. 123)
Asymmetric unit:
In1 0.0000 0.5000 0.0000 [2 per cell]  2 Cl 2.71
Os1 0.0000 0.0000 0.5000 [1 per cell]  8 In 3.51, 4 S 3.83
S1 0.5000 0.5000 0.5000 [1 per cell]  2 Cl 2.23
Cl1 0.5000 0.5000 0.0000 [1 per cell]  2 S 2.23

***

# ReSb2TeSe

A relaxed ReSb2TeSe crystal (PBE, the Alexandria database).

For the total energy, the calculation gives -24.3 eV per formula unit. The value obtained for the total magnetization is 0.00 Bohr magnetons per cell. Its formation energy without anion corrections is 0.60 eV/atom. The density of states at the Fermi level comes out at 0.752 states/eV per atom. As for the relative energy among the computed polymorphs: 0.0000 eV per atom.

abc: 5.2424 5.2424 5.0419
angles: 90.00 90.00 90.00
Closest atoms and distances in Å follow each position.
Space group P4/mmm (No. 123)
Asymmetric unit:
Re1 0.0000 0.0000 0.0000 [1 per cell]  2 Te 2.52, 4 Sb 2.62
Sb1 0.0000 0.5000 0.0000 [2 per cell]  2 Re 2.62
Te1 0.0000 0.0000 0.5000 [1 per cell]  2 Re 2.52
Se1 0.5000 0.5000 0.5000 [1 per cell]  8 Sb 3.64, 4 Te 3.71

***

# Sm3CuO6

A relaxed Sm3CuO6 crystal (PBE, the Alexandria database).

For the total energy, the calculation gives -74.4 eV per formula unit. The value obtained for the total magnetization is 8.01 Bohr magnetons per cell. Its formation energy without anion corrections is -2.64 eV/atom. The density of states at the Fermi level comes out at 0.141 states/eV per atom.

abc: 9.1025 11.3752 5.6184
angles: 90.00 90.00 90.00
Closest atoms and distances in Å follow each position.
Space group Cmc2_1 (No. 36)
Asymmetric unit:
Sm1 0.0000 0.1036 0.0000 [4 per cell]  7 O 2.34-2.51
Sm2 0.1934 0.3938 0.0456 [8 per cell]  6 O 2.28-2.52
Cu1 0.0000 0.3128 0.5708 [4 per cell]  4 O 1.89-1.96
O1 0.0000 0.2844 0.2395 [4 per cell]  1 Cu 1.89
O2 0.0000 0.4593 0.7532 [4 per cell]  1 Cu 1.96
O3 0.1550 0.2407 0.7558 [8 per cell]  1 Cu 1.94
O4 0.1595 0.0137 0.2755 [8 per cell]  4 Sm 2.28-2.36

***

# SbRhPbI2

A relaxed SbRhPbI2 crystal (PBE, the Alexandria database).

For the total energy, the calculation gives -17.6 eV per formula unit. The value obtained for the total magnetization is 0.00 Bohr magnetons per cell. Its formation energy without anion corrections is 0.14 eV/atom. The density of states at the Fermi level comes out at 1.028 states/eV per atom. As for the relative energy among the computed polymorphs: 0.0000 eV per atom.

abc: 5.5328 5.5328 5.0992
angles: 90.00 90.00 90.00
Closest atoms and distances in Å follow each position.
Space group P4/mmm (No. 123)
Asymmetric unit:
Sb1 0.0000 0.0000 0.0000 [1 per cell]  2 Rh 2.55
Rh1 0.0000 0.0000 0.5000 [1 per cell]  2 Sb 2.55, 4 I 2.77
Pb1 0.5000 0.5000 0.0000 [1 per cell]  8 I 3.76, 4 Sb 3.91
I1 0.0000 0.5000 0.5000 [2 per cell]  2 Rh 2.77